Entry 1:
# PmFeReP2

A geometry-optimized PmFeReP2 structure (PBE-GGA, the Alexandria database).

Properties
Calculated formation energy in eV per atom: -0.77
Density of states at the Fermi level in states/eV per cell: 6.20

Cell lengths 4.0207, 4.0207, 9.9603 Å; angles 90.00, 90.00, 90.00 degrees
Last column: nearest neighbours and their distance in Å.
Space group I-4m2 (No. 119)
Symmetry-distinct sites (fractional):
Pm  0.0000  0.0000  0.0000 [2 per cell]  8 P 3.15, 4 Fe 3.20, 4 Re 3.20
Fe  0.0000  0.5000  0.7500 [2 per cell]  4 P 2.31
Re  0.0000  0.5000  0.2500 [2 per cell]  4 P 2.31
P  0.0000  0.0000  0.3639 [4 per cell]  2 Fe 2.31, 2 Re 2.31


Entry 2:
# PmFeP2Rh

A geometry-optimized PmFeP2Rh structure (PBE-GGA, the Alexandria database).

Properties
Calculated formation energy in eV per atom: -0.98
Density of states at the Fermi level in states/eV per cell: 4.75

Cell lengths 3.9422, 3.9422, 9.8668 Å; angles 90.00, 90.00, 90.00 degrees
Last column: nearest neighbours and their distance in Å.
Space group I-4m2 (No. 119)
Symmetry-distinct sites (fractional):
Pm  0.0000  0.0000  0.0000 [2 per cell]  8 P 3.04, 4 Fe 3.16, 4 Rh 3.16
Fe  0.0000  0.5000  0.2500 [2 per cell]  4 P 2.33
P  0.0000  0.0000  0.3765 [4 per cell]  2 Fe 2.33, 2 Rh 2.33, 1 P 2.44
Rh  0.0000  0.5000  0.7500 [2 per cell]  4 P 2.33


Entry 3:
# PmTiFeP2

A geometry-optimized PmTiFeP2 structure (PBE-GGA, the Alexandria database).

Properties
Calculated formation energy in eV per atom: -0.99
Density of states at the Fermi level in states/eV per cell: 5.52

Cell lengths 3.8324, 3.8324, 11.6148 Å; angles 90.00, 90.00, 90.00 degrees
Last column: nearest neighbours and their distance in Å.
Space group I-4m2 (No. 119)
Symmetry-distinct sites (fractional):
Pm  0.0000  0.0000  0.0000 [2 per cell]  8 P 3.08
Ti  0.0000  0.5000  0.7500 [2 per cell]  4 P 2.39
Fe  0.0000  0.5000  0.2500 [2 per cell]  4 P 2.39
P  0.0000  0.0000  0.3731 [4 per cell]  2 Fe 2.39, 2 Ti 2.39


Entry 4:
# PmVFeP2

A geometry-optimized PmVFeP2 structure (PBE-GGA, the Alexandria database).

Properties
Calculated formation energy in eV per atom: -0.90
Density of states at the Fermi level in states/eV per cell: 4.46

Cell lengths 3.9072, 3.9072, 10.4494 Å; angles 90.00, 90.00, 90.00 degrees
Last column: nearest neighbours and their distance in Å.
Space group I-4m2 (No. 119)
Symmetry-distinct sites (fractional):
Pm  0.0000  0.0000  0.0000 [2 per cell]  8 P 3.09, 4 Fe 3.26, 4 V 3.26
V  0.0000  0.5000  0.7500 [2 per cell]  4 P 2.31
Fe  0.0000  0.5000  0.2500 [2 per cell]  4 P 2.31
P  0.0000  0.0000  0.3683 [4 per cell]  2 Fe 2.31, 2 V 2.31